Record 1
Density functional theory data (PBE-GGA) for a geometry-optimized La4Hg5Pb structure.

Computed properties:
Electronic total energy ... -3.0034 eV/atom
Formation energy from the elements ... -0.511 eV/atom

a b c (Å): 8.833 8.833 6.708
angles (deg): 102.54 102.54 35.01
Fractional positions:
La 0.096 0.096 0.324
La 0.313 0.313 0.172
La 0.687 0.687 0.828
La 0.904 0.904 0.676
Hg 0.096 0.096 0.845
Hg 0.278 0.278 0.657
Hg 0.500 0.500 0.000
Hg 0.722 0.722 0.343
Hg 0.904 0.904 0.155
Pb 0.500 0.500 0.500

---

Record 2
Density functional theory data (PBE-GGA) for a geometry-optimized La4Hg5Pb structure.

Computed properties:
Electronic total energy ... -2.9361 eV/atom
Formation energy from the elements ... -0.443 eV/atom

a b c (Å): 3.954 3.954 18.754
angles (deg): 90.00 90.00 90.00
Fractional positions:
La 0.000 0.000 0.102
La 0.000 0.000 0.309
La 0.000 0.000 0.691
La 0.000 0.000 0.898
Hg 0.500 0.500 0.000
Hg 0.500 0.500 0.202
Hg 0.500 0.500 0.405
Hg 0.500 0.500 0.595
Hg 0.500 0.500 0.798
Pb 0.000 0.000 0.500

---

Record 3
Density functional theory data (PBE-GGA) for a geometry-optimized La8HgPb5 structure.

Computed properties:
Electronic total energy ... -4.7339 eV/atom
Formation energy from the elements ... -0.572 eV/atom

a b c (Å): 8.544 8.544 8.544
angles (deg): 109.68 109.68 109.05
Fractional positions:
La 0.121 0.232 0.751
La 0.131 0.737 0.756
La 0.263 0.019 0.394
La 0.482 0.371 0.249
La 0.624 0.869 0.606
La 0.629 0.879 0.111
La 0.768 0.518 0.889
La 0.981 0.376 0.244
Hg 0.750 0.250 0.500
Pb 0.000 0.000 0.000
Pb 0.253 0.629 0.127
Pb 0.371 0.499 0.624
Pb 0.501 0.126 0.873
Pb 0.874 0.747 0.376

---

Record 4
Density functional theory data (PBE-GGA) for a geometry-optimized LaHg2Pb structure.

Computed properties:
Electronic total energy ... -2.6346 eV/atom
Formation energy from the elements ... -0.325 eV/atom

a b c (Å): 3.366 5.270 6.417
angles (deg): 90.00 90.05 90.00
Fractional positions:
La 0.000 0.000 0.000
Hg 0.498 0.500 0.764
Hg 0.502 0.500 0.236
Pb 0.500 0.000 0.500

---

Record 5
Density functional theory data (PBE-GGA) for a geometry-optimized LaHgPb2 structure.

Computed properties:
Electronic total energy ... -3.4853 eV/atom
Formation energy from the elements ... -0.324 eV/atom

a b c (Å): 5.555 5.555 5.555
angles (deg): 60.00 60.00 60.00
Fractional positions:
La 0.000 0.000 0.000
Hg 0.750 0.750 0.750
Pb 0.250 0.250 0.250
Pb 0.500 0.500 0.500

---

Record 6
Density functional theory data (PBE-GGA) for a geometry-optimized La5HgPb4 structure.

Computed properties:
Electronic total energy ... -4.5424 eV/atom
Formation energy from the elements ... -0.565 eV/atom

a b c (Å): 3.665 3.665 23.139
angles (deg): 90.00 90.00 90.00
Fractional positions:
La 0.000 0.000 0.000
La 0.000 0.000 0.202
La 0.000 0.000 0.405
La 0.000 0.000 0.595
La 0.000 0.000 0.798
Hg 0.500 0.500 0.500
Pb 0.500 0.500 0.101
Pb 0.500 0.500 0.304
Pb 0.500 0.500 0.696
Pb 0.500 0.500 0.899